DFT (PBE-GGA) results for an optimized crystal structure of CaPmNdTl.

The calculated total energy comes out at -55.399 eV/cell. The value obtained for the formation energy is 0.01 eV per atom.

The structure belongs to space group F-43m (No. 216); the cell edges are 7.998, 7.998 and 7.998 Å and the angles 90.00°, 90.00° and 90.00°. The inequivalent atoms are Ca at (0.000, 0.000, 0.000), Pm at (0.250, 0.250, 0.750), Nd at (0.000, 0.000, 0.500) and Tl at (0.250, 0.250, 0.250).


DFT (PBE-GGA) results for an optimized crystal structure of CaPm6Nd3Tm2.

The calculated total energy comes out at -106.467 eV/cell. The value obtained for the formation energy is 0.04 eV per atom.

The structure belongs to space group C2/m (No. 12); the cell edges are 6.339, 10.984 and 11.996 Å and the angles 90.00°, 100.11° and 90.00°. The inequivalent atoms are Ca at (0.000, 0.000, 0.000), Pm at (0.241, 0.500, 0.248), Pm at (0.246, 0.329, 0.752), Nd at (0.000, 0.166, 0.500), Nd at (0.000, 0.500, 0.500) and Tm at (0.000, 0.333, 0.000).


DFT (PBE-GGA) results for an optimized crystal structure of CaPmNdTm.

The calculated total energy comes out at -62.080 eV/cell. The value obtained for the formation energy is 0.12 eV per atom.

The structure belongs to space group F-43m (No. 216); the cell edges are 8.218, 8.218 and 8.218 Å and the angles 90.00°, 90.00° and 90.00°. The inequivalent atoms are Ca at (0.000, 0.000, 0.000), Pm at (0.250, 0.250, 0.250), Nd at (0.250, 0.250, 0.750) and Tm at (0.000, 0.000, 0.500).


DFT (PBE-GGA) results for an optimized crystal structure of CaPm4Nd2Tm.

The calculated total energy comes out at -127.886 eV/cell. The value obtained for the formation energy is 0.38 eV per atom.

The structure belongs to space group C2/c (No. 15); the cell edges are 13.955, 13.451 and 6.916 Å and the angles 90.00°, 119.35° and 90.00°. The inequivalent atoms are Ca at (0.000, 0.000, 0.000), Pm at (0.016, 0.252, 0.015), Pm at (0.237, 0.496, 0.959), Nd at (0.000, 0.500, 0.000), Nd at (0.250, 0.250, 0.500) and Tm at (0.250, 0.250, 0.000).


DFT (PBE-GGA) results for an optimized crystal structure of CaPmNdY.

The calculated total energy comes out at -69.613 eV/cell. The value obtained for the formation energy is 0.15 eV per atom.

The structure belongs to space group F-43m (No. 216); the cell edges are 8.273, 8.273 and 8.273 Å and the angles 90.00°, 90.00° and 90.00°. The inequivalent atoms are Ca at (0.000, 0.000, 0.000), Pm at (0.000, 0.000, 0.500), Nd at (0.250, 0.250, 0.250) and Y at (0.250, 0.250, 0.750).


DFT (PBE-GGA) results for an optimized crystal structure of CaPmNdY.

The calculated total energy comes out at -17.763 eV/cell. The value obtained for the formation energy is 0.06 eV per atom.

The structure belongs to space group P4mm (No. 99); the cell edges are 3.688, 3.688 and 10.501 Å and the angles 90.00°, 90.00° and 90.00°. The inequivalent atoms are Ca at (0.000, 0.000, 0.000), Pm at (0.000, 0.000, 0.493), Nd at (0.500, 0.500, 0.730) and Y at (0.500, 0.500, 0.261).


DFT (PBE-GGA) results for an optimized crystal structure of CaPm4Nd2Y.

The calculated total energy comes out at -135.884 eV/cell. The value obtained for the formation energy is 0.38 eV per atom.

The structure belongs to space group C2/c (No. 15); the cell edges are 13.993, 13.479 and 6.938 Å and the angles 90.00°, 119.38° and 90.00°. The inequivalent atoms are Ca at (0.000, 0.000, 0.000), Pm at (0.015, 0.251, 0.017), Pm at (0.237, 0.500, 0.457), Nd at (0.000, 0.500, 0.000), Nd at (0.250, 0.250, 0.500) and Y at (0.250, 0.250, 0.000).


DFT (PBE-GGA) results for an optimized crystal structure of CaPm3Nd6Y2.

The calculated total energy comes out at -114.808 eV/cell. The value obtained for the formation energy is 0.03 eV per atom.

The structure belongs to space group C2/m (No. 12); the cell edges are 6.373, 11.042 and 12.074 Å and the angles 90.00°, 100.08° and 90.00°. The inequivalent atoms are Ca at (0.000, 0.000, 0.000), Pm at (0.000, 0.166, 0.500), Pm at (0.000, 0.500, 0.500), Nd at (0.245, 0.500, 0.251), Nd at (0.246, 0.330, 0.750) and Y at (0.000, 0.333, 0.000).


DFT (PBE-GGA) results for an optimized crystal structure of Ca2Pm2NdY6.

The calculated total energy comes out at -110.370 eV/cell. The value obtained for the formation energy is 0.17 eV per atom.

The structure belongs to space group C2/m (No. 12); the cell edges are 6.208, 10.840 and 12.232 Å and the angles 90.00°, 101.07° and 90.00°. The inequivalent atoms are Ca at (0.000, 0.165, 0.000), Pm at (0.000, 0.333, 0.500), Nd at (0.000, 0.000, 0.500), Y at (0.244, 0.000, 0.261) and Y at (0.244, 0.334, 0.258).


DFT (PBE-GGA) results for an optimized crystal structure of CaPm6Nd2Y3.

The calculated total energy comes out at -118.196 eV/cell. The value obtained for the formation energy is 0.03 eV per atom.

The structure belongs to space group C2/m (No. 12); the cell edges are 6.330, 10.965 and 12.046 Å and the angles 90.00°, 100.03° and 90.00°. The inequivalent atoms are Ca at (0.000, 0.000, 0.000), Pm at (0.245, 0.331, 0.745), Pm at (0.248, 0.500, 0.256), Nd at (0.000, 0.333, 0.000), Y at (0.000, 0.166, 0.500) and Y at (0.000, 0.500, 0.500).


DFT (PBE-GGA) results for an optimized crystal structure of CaPmNdZn.

The calculated total energy comes out at -13.270 eV/cell. The value obtained for the formation energy is -0.12 eV per atom.

The structure belongs to space group P4mm (No. 99); the cell edges are 3.634, 3.634 and 9.324 Å and the angles 90.00°, 90.00° and 90.00°. The inequivalent atoms are Ca at (0.000, 0.000, 0.000), Pm at (0.000, 0.000, 0.401), Nd at (0.500, 0.500, 0.679) and Zn at (0.500, 0.500, 0.205).


DFT (PBE-GGA) results for an optimized crystal structure of CaPmNdZn.

The calculated total energy comes out at -50.610 eV/cell. The value obtained for the formation energy is 0.04 eV per atom.

The structure belongs to space group F-43m (No. 216); the cell edges are 7.789, 7.789 and 7.789 Å and the angles 90.00°, 90.00° and 90.00°. The inequivalent atoms are Ca at (0.000, 0.000, 0.000), Pm at (0.250, 0.250, 0.250), Nd at (0.250, 0.250, 0.750) and Zn at (0.000, 0.000, 0.500).